Computed, not measured: a relaxed structure of Cs2MgCl4 at the GGA-PBE level of DFT.

a b c (Å): 13.8103 9.9280 7.5866
angles (deg): 90.00 90.00 90.00
Positions (direct):
1 Cl 0.5830 0.0067 0.2500
2 Cl 0.0830 0.4933 0.7500
3 Cl 0.4170 0.9933 0.7500
4 Cl 0.9170 0.5067 0.2500
5 Cl 0.4147 0.6879 0.2500
6 Cl 0.9147 0.8121 0.7500
7 Cl 0.5853 0.3121 0.7500
8 Cl 0.0853 0.1879 0.2500
9 Cl 0.6490 0.6782 0.0012
10 Cl 0.1490 0.8218 0.9988
11 Cl 0.3510 0.3218 0.5012
12 Cl 0.8510 0.1782 0.4988
13 Cl 0.3510 0.3218 0.9988
14 Cl 0.8510 0.1782 0.0012
15 Cl 0.6490 0.6782 0.4988
16 Cl 0.1490 0.8218 0.5012
17 Cs 0.5776 0.3634 0.2500
18 Cs 0.0776 0.1366 0.7500
19 Cs 0.4224 0.6366 0.7500
20 Cs 0.9224 0.8634 0.2500
21 Cs 0.3176 0.0170 0.2500
22 Cs 0.8176 0.4830 0.7500
23 Cs 0.6824 0.9830 0.7500
24 Cs 0.1824 0.5170 0.2500
25 Mg 0.5743 0.7721 0.2500
26 Mg 0.0743 0.7279 0.7500
27 Mg 0.4257 0.2279 0.7500
28 Mg 0.9257 0.2721 0.2500

Results
Formation energy from raw total energies, eV per formula unit: -13.76
Crystal system: orthorhombic
SG: Pnma (62)
Density, g/cm3: 2.76